An optimized crystal structure of HfZrAgAu. Source: Alexandria via LeMat-Bulk, functional PBE.

a = 3.4994 Å, b = 3.4994 Å, c = 6.5181 Å
α = 90.00°, β = 90.00°, γ = 90.00°
Atoms (fractional coordinates):
Ag1 0.5000 0.5000 0.5986
Zr1 0.0000 0.0000 0.8421
Au1 0.0000 0.0000 0.3557
Hf1 0.5000 0.5000 0.1316

Offset from the most stable computed form: 0 meV per atom
Raw total energy: -6.49 eV/atom

An optimized crystal structure of HfZrAgAu. Source: Alexandria via LeMat-Bulk, functional PBE.

a = 4.8381 Å, b = 4.8381 Å, c = 4.8381 Å
α = 60.00°, β = 60.00°, γ = 60.00°
Atoms (fractional coordinates):
Zr1 0.0000 0.0000 0.0000
Au1 0.7500 0.7500 0.7500
Hf1 0.5000 0.5000 0.5000
Ag1 0.2500 0.2500 0.2500

Offset from the most stable computed form: 143 meV per atom
Raw total energy: -6.35 eV/atom

An optimized crystal structure of Ag2HgAu. Source: Alexandria via LeMat-Bulk, functional PBE.

a = 9.5880 Å, b = 9.5880 Å, c = 9.5880 Å
α = 18.47°, β = 18.47°, γ = 18.47°
Atoms (fractional coordinates):
Au1 0.2500 0.2500 0.2500
Hg1 0.7500 0.7500 0.7500
Ag1 0.9970 0.9970 0.9970
Ag2 0.5030 0.5030 0.5030

Raw total energy: -2.27 eV/atom

An optimized crystal structure of Ag2Hg2Au5. Source: Alexandria via LeMat-Bulk, functional PBE.

a = 4.2631 Å, b = 7.8219 Å, c = 6.5745 Å
α = 124.72°, β = 90.00°, γ = 105.81°
Atoms (fractional coordinates):
Hg1 0.6627 0.3255 0.3246
Au1 0.1106 0.2213 0.5571
Au2 0.5585 0.1169 0.7749
Ag1 0.7789 0.5579 0.8981
Au3 0.0000 0.0000 0.0000
Au4 0.8894 0.7787 0.4429
Au5 0.4415 0.8831 0.2251
Ag2 0.2211 0.4421 0.1019
Hg2 0.3373 0.6745 0.6754

Offset from the most stable computed form: 0 meV per atom
Raw total energy: -2.50 eV/atom

An optimized crystal structure of AgHgAu2. Source: Alexandria via LeMat-Bulk, functional PBE.

a = 4.1980 Å, b = 4.2068 Å, c = 4.2901 Å
α = 90.00°, β = 90.00°, γ = 90.00°
Atoms (fractional coordinates):
Au1 0.5000 0.5000 0.0000
Au2 0.0000 0.0000 0.0000
Hg1 0.5000 0.0000 0.5000
Ag1 0.0000 0.5000 0.5000

Raw total energy: -2.41 eV/atom

An optimized crystal structure of Ag2HgAu6. Source: Alexandria via LeMat-Bulk, functional PBE.

a = 6.5172 Å, b = 6.5172 Å, c = 6.5172 Å
α = 120.00°, β = 120.00°, γ = 89.99°
Atoms (fractional coordinates):
Au1 0.2849 0.2849 0.0000
Ag1 0.7500 0.2500 0.5000
Au2 0.2849 0.7151 0.0000
Au3 0.2849 0.2849 0.5699
Ag2 0.2500 0.7500 0.5000
Au4 0.7151 0.2849 0.0000
Au5 0.7151 0.7151 0.0000
Au6 0.7151 0.7151 0.4301
Hg1 0.0000 0.0000 0.0000

Offset from the most stable computed form: 289 meV per atom
Raw total energy: -2.54 eV/atom

Taking the records one at a time from the top gives ΔH_f (0 K) values of -0.335 -0.192 0.046 0.025 0.016 0.315 eV per atom.